Record 1
# KMg2Ta, relaxed, DFT PBE-GGA
data_KMg2Ta
_symmetry_space_group_name_H-M 'P 1'
_symmetry_Int_Tables_number 1
_symmetry_space_group_name_Hall 'P 1'
_cell_length_a 5.743
_cell_length_b 5.743
_cell_length_c 2.888
_cell_angle_alpha 90.00
_cell_angle_beta 90.00
_cell_angle_gamma 91.32
loop_
_atom_site_label
_atom_site_fract_x
_atom_site_fract_y
_atom_site_fract_z
K1 0.000 0.500 0.500
Mg1 0.500 0.500 0.000
Mg2 0.000 0.000 0.000
Ta1 0.500 0.000 0.500
# SG	No. 65
# size of the total moment	0.00	μB per formula unit
# offset from the most stable computed form	253	meV per atom
# energy relative to the elements	0.702	eV/atom


Record 2
# KMgTa2, relaxed, DFT PBE-GGA
data_KMgTa2
_symmetry_space_group_name_H-M 'P 1'
_symmetry_Int_Tables_number 1
_symmetry_space_group_name_Hall 'P 1'
_cell_length_a 5.210
_cell_length_b 2.909
_cell_length_c 7.478
_cell_angle_alpha 79.31
_cell_angle_beta 90.00
_cell_angle_gamma 90.00
loop_
_atom_site_label
_atom_site_fract_x
_atom_site_fract_y
_atom_site_fract_z
K1 0.500 0.250 0.250
Ta1 0.000 0.986 0.897
Ta2 0.000 0.514 0.603
Mg1 0.500 0.750 0.750
# SG	No. 10
# size of the total moment	0.00	μB per formula unit
# energy relative to the elements	0.919	eV/atom


Record 3
# KMgTa, relaxed, DFT PBE-GGA
data_KMgTa
_symmetry_space_group_name_H-M 'P 1'
_symmetry_Int_Tables_number 1
_symmetry_space_group_name_Hall 'P 1'
_cell_length_a 12.506
_cell_length_b 5.031
_cell_length_c 3.151
_cell_angle_alpha 90.00
_cell_angle_beta 89.78
_cell_angle_gamma 90.00
loop_
_atom_site_label
_atom_site_fract_x
_atom_site_fract_y
_atom_site_fract_z
Mg1 0.187 0.000 0.535
Mg2 0.395 0.000 0.030
K1 0.607 0.500 0.527
K2 0.918 0.000 0.063
Ta1 0.325 0.500 0.531
Ta2 0.155 0.500 0.034
# SG	No. 6
# size of the total moment	0.00	μB per formula unit
# offset from the most stable computed form	193	meV per atom
# energy relative to the elements	0.574	eV/atom


Record 4
# KMg2Ta, relaxed, DFT PBE-GGA
data_KMg2Ta
_symmetry_space_group_name_H-M 'P 1'
_symmetry_Int_Tables_number 1
_symmetry_space_group_name_Hall 'P 1'
_cell_length_a 11.715
_cell_length_b 11.715
_cell_length_c 11.715
_cell_angle_alpha 15.28
_cell_angle_beta 15.28
_cell_angle_gamma 15.28
loop_
_atom_site_label
_atom_site_fract_x
_atom_site_fract_y
_atom_site_fract_z
Mg1 0.512 0.512 0.512
Mg2 0.988 0.988 0.988
K1 0.750 0.750 0.750
Ta1 0.250 0.250 0.250
# SG	No. 166
# size of the total moment	0.00	μB per formula unit
# offset from the most stable computed form	53	meV per atom
# energy relative to the elements	0.502	eV/atom


Record 5
# KMg2Ta, relaxed, DFT PBE-GGA
data_KMg2Ta
_symmetry_space_group_name_H-M 'P 1'
_symmetry_Int_Tables_number 1
_symmetry_space_group_name_Hall 'P 1'
_cell_length_a 2.989
_cell_length_b 2.989
_cell_length_c 11.622
_cell_angle_alpha 90.00
_cell_angle_beta 90.00
_cell_angle_gamma 112.06
loop_
_atom_site_label
_atom_site_fract_x
_atom_site_fract_y
_atom_site_fract_z
Mg1 0.000 0.000 0.030
Mg2 0.500 0.500 0.259
K1 0.500 0.500 0.744
Ta1 0.000 0.000 0.468
# SG	No. 35
# size of the total moment	0.00	μB per formula unit
# offset from the most stable computed form	137	meV per atom
# energy relative to the elements	0.585	eV/atom


Record 6
# K2MgTa, relaxed, DFT PBE-GGA
data_K2MgTa
_symmetry_space_group_name_H-M 'P 1'
_symmetry_Int_Tables_number 1
_symmetry_space_group_name_Hall 'P 1'
_cell_length_a 5.749
_cell_length_b 5.749
_cell_length_c 5.749
_cell_angle_alpha 119.91
_cell_angle_beta 119.91
_cell_angle_gamma 90.15
loop_
_atom_site_label
_atom_site_fract_x
_atom_site_fract_y
_atom_site_fract_z
K1 0.000 0.000 0.000
K2 0.250 0.750 0.500
Ta1 0.750 0.250 0.500
Mg1 0.500 0.500 0.000
# SG	No. 119
# size of the total moment	4.47	μB per formula unit
# energy relative to the elements	1.308	eV/atom


Record 7
# K2MgTa, relaxed, DFT PBE-GGA
data_K2MgTa
_symmetry_space_group_name_H-M 'P 1'
_symmetry_Int_Tables_number 1
_symmetry_space_group_name_Hall 'P 1'
_cell_length_a 7.097
_cell_length_b 7.097
_cell_length_c 2.940
_cell_angle_alpha 90.00
_cell_angle_beta 90.00
_cell_angle_gamma 125.62
loop_
_atom_site_label
_atom_site_fract_x
_atom_site_fract_y
_atom_site_fract_z
K1 0.000 0.000 0.000
K2 0.500 0.500 0.000
Ta1 0.000 0.500 0.500
Mg1 0.500 0.000 0.500
# SG	No. 65
# size of the total moment	1.36	μB per formula unit
# energy relative to the elements	1.127	eV/atom


Record 8
# KMgTa2, relaxed, DFT PBE-GGA
data_KMgTa2
_symmetry_space_group_name_H-M 'P 1'
_symmetry_Int_Tables_number 1
_symmetry_space_group_name_Hall 'P 1'
_cell_length_a 4.984
_cell_length_b 4.984
_cell_length_c 4.984
_cell_angle_alpha 119.98
_cell_angle_beta 119.98
_cell_angle_gamma 90.03
loop_
_atom_site_label
_atom_site_fract_x
_atom_site_fract_y
_atom_site_fract_z
Ta1 0.250 0.750 0.500
Ta2 0.000 0.000 0.000
K1 0.500 0.500 0.000
Mg1 0.750 0.250 0.500
# SG	No. 216
# size of the total moment	0.91	μB per formula unit
# energy relative to the elements	1.279	eV/atom


Record 9
# KMg2Ta, relaxed, DFT PBE-GGA
data_KMg2Ta
_symmetry_space_group_name_H-M 'P 1'
_symmetry_Int_Tables_number 1
_symmetry_space_group_name_Hall 'P 1'
_cell_length_a 8.453
_cell_length_b 8.453
_cell_length_c 6.850
_cell_angle_alpha 51.90
_cell_angle_beta 51.90
_cell_angle_gamma 90.00
loop_
_atom_site_label
_atom_site_fract_x
_atom_site_fract_y
_atom_site_fract_z
K1 0.250 0.750 0.500
K2 0.500 0.500 0.000
Ta1 0.000 0.000 0.000
Ta2 0.750 0.250 0.500
Mg1 0.375 0.338 0.750
Mg2 0.088 0.625 0.250
Mg3 0.662 0.125 0.250
Mg4 0.875 0.912 0.750
# SG	No. 122
# size of the total moment	2.98	μB per formula unit
# offset from the most stable computed form	830	meV per atom
# energy relative to the elements	1.279	eV/atom


Record 10
# KMgTa3, relaxed, DFT PBE-GGA
data_KMgTa3
_symmetry_space_group_name_H-M 'P 1'
_symmetry_Int_Tables_number 1
_symmetry_space_group_name_Hall 'P 1'
_cell_length_a 4.985
_cell_length_b 4.985
_cell_length_c 4.985
_cell_angle_alpha 90.00
_cell_angle_beta 90.00
_cell_angle_gamma 90.00
loop_
_atom_site_label
_atom_site_fract_x
_atom_site_fract_y
_atom_site_fract_z
Ta1 0.000 0.000 0.500
Ta2 0.500 0.000 0.000
Ta3 0.000 0.500 0.000
K1 0.500 0.500 0.500
Mg1 0.000 0.000 0.000
# SG	No. 221
# size of the total moment	0.00	μB per formula unit
# offset from the most stable computed form	0	meV per atom
# energy relative to the elements	2.278	eV/atom


Record 11
# K2MgTa, relaxed, DFT PBE-GGA
data_K2MgTa
_symmetry_space_group_name_H-M 'P 1'
_symmetry_Int_Tables_number 1
_symmetry_space_group_name_Hall 'P 1'
_cell_length_a 9.771
_cell_length_b 9.771
_cell_length_c 7.593
_cell_angle_alpha 49.95
_cell_angle_beta 49.95
_cell_angle_gamma 90.00
loop_
_atom_site_label
_atom_site_fract_x
_atom_site_fract_y
_atom_site_fract_z
Ta1 0.000 0.000 0.000
Ta2 0.750 0.250 0.500
K1 0.618 0.125 0.250
K2 0.375 0.382 0.750
K3 0.132 0.625 0.250
K4 0.875 0.868 0.750
Mg1 0.250 0.750 0.500
Mg2 0.500 0.500 0.000
# SG	No. 122
# size of the total moment	4.18	μB per formula unit
# energy relative to the elements	1.484	eV/atom


Record 12
# KMgTa2, relaxed, DFT PBE-GGA
data_KMgTa2
_symmetry_space_group_name_H-M 'P 1'
_symmetry_Int_Tables_number 1
_symmetry_space_group_name_Hall 'P 1'
_cell_length_a 6.277
_cell_length_b 6.277
_cell_length_c 6.277
_cell_angle_alpha 142.31
_cell_angle_beta 142.31
_cell_angle_gamma 54.37
loop_
_atom_site_label
_atom_site_fract_x
_atom_site_fract_y
_atom_site_fract_z
Ta1 0.500 0.500 0.000
Ta2 0.000 0.000 0.000
Mg1 0.750 0.250 0.500
K1 0.250 0.750 0.500
# SG	No. 139
# size of the total moment	0.00	μB per formula unit
# energy relative to the elements	1.322	eV/atom


Record 13
# KMgTa2, relaxed, DFT PBE-GGA
data_KMgTa2
_symmetry_space_group_name_H-M 'P 1'
_symmetry_Int_Tables_number 1
_symmetry_space_group_name_Hall 'P 1'
_cell_length_a 6.646
_cell_length_b 6.646
_cell_length_c 6.646
_cell_angle_alpha 154.24
_cell_angle_beta 126.02
_cell_angle_gamma 60.74
loop_
_atom_site_label
_atom_site_fract_x
_atom_site_fract_y
_atom_site_fract_z
Ta1 0.792 0.292 0.500
Ta2 0.978 0.978 0.000
K1 0.507 0.507 0.000
Mg1 0.224 0.724 0.500
# SG	No. 44
# size of the total moment	0.26	μB per formula unit
# energy relative to the elements	1.062	eV/atom


Record 14
# K2MgTa, relaxed, DFT PBE-GGA
data_K2MgTa
_symmetry_space_group_name_H-M 'P 1'
_symmetry_Int_Tables_number 1
_symmetry_space_group_name_Hall 'P 1'
_cell_length_a 3.268
_cell_length_b 3.268
_cell_length_c 12.132
_cell_angle_alpha 90.00
_cell_angle_beta 90.00
_cell_angle_gamma 90.00
loop_
_atom_site_label
_atom_site_fract_x
_atom_site_fract_y
_atom_site_fract_z
Ta1 0.500 0.500 0.705
K1 0.000 0.000 0.947
K2 0.500 0.500 0.293
Mg1 0.000 0.000 0.555
# SG	No. 99
# size of the total moment	0.00	μB per formula unit
# energy relative to the elements	0.801	eV/atom


Record 15
# KMgTa, relaxed, DFT PBE-GGA
data_KMgTa
_symmetry_space_group_name_H-M 'P 1'
_symmetry_Int_Tables_number 1
_symmetry_space_group_name_Hall 'P 1'
_cell_length_a 5.926
_cell_length_b 5.926
_cell_length_c 11.373
_cell_angle_alpha 90.00
_cell_angle_beta 90.00
_cell_angle_gamma 120.00
loop_
_atom_site_label
_atom_site_fract_x
_atom_site_fract_y
_atom_site_fract_z
K1 0.667 0.333 0.750
K2 0.333 0.667 0.250
Ta1 0.000 0.000 0.500
Ta2 0.000 0.000 0.000
Mg1 0.000 0.000 0.750
Mg2 0.000 0.000 0.250
# SG	No. 194
# size of the total moment	4.71	μB per formula unit
# offset from the most stable computed form	1945	meV per atom
# energy relative to the elements	2.326	eV/atom